Record 1
# LiAuF4, optimized geometry, DFT PBE
# **Crystal system**: tetragonal
# **Total energy**: -3.7174 eV/atom
data_LiAuF4
_chemical_formula_sum 'Li4 Au4 F16'
_symmetry_space_group_name_H-M 'I 41/a'
_symmetry_Int_Tables_number 88
_cell_length_a 5.197
_cell_length_b 5.197
_cell_length_c 10.258
_cell_angle_alpha 90.00
_cell_angle_beta 90.00
_cell_angle_gamma 90.00
loop_
_symmetry_equiv_pos_as_xyz
'x,y,z'
'-x,-y,-z'
'-y+3/4,x+1/4,z+1/4'
'y+3/4,-x+1/4,-z+1/4'
'-x+1/2,-y,z+1/2'
'x+1/2,y,-z+1/2'
'y+3/4,-x+3/4,z+3/4'
'-y+3/4,x+3/4,-z+3/4'
'x+1/2,y+1/2,z+1/2'
'-x+1/2,-y+1/2,-z+1/2'
'-y+1/4,x+3/4,z+3/4'
'y+1/4,-x+3/4,-z+3/4'
'-x,-y+1/2,z'
'x,y+1/2,-z'
'y+1/4,-x+1/4,z+1/4'
'-y+1/4,x+1/4,-z+1/4'
loop_
_atom_site_label
_atom_site_fract_x
_atom_site_fract_y
_atom_site_fract_z
Li1 0.000 0.250 0.125
Au1 0.000 0.250 0.625
F1 0.170 0.429 0.883


Record 2
# MgTe2Au2F2, optimized geometry, DFT PBE
# **Crystal system**: tetragonal
# **Total energy**: -3.0716 eV/atom
data_MgTe2Au2F2
_chemical_formula_sum 'Mg1 Te2 Au2 F2'
_symmetry_space_group_name_H-M 'P -4 m 2'
_symmetry_Int_Tables_number 115
_cell_length_a 3.926
_cell_length_b 3.926
_cell_length_c 8.790
_cell_angle_alpha 90.00
_cell_angle_beta 90.00
_cell_angle_gamma 90.00
loop_
_symmetry_equiv_pos_as_xyz
'x,y,z'
'y,-x,-z'
'-x,-y,z'
'-y,x,-z'
'-x,y,z'
'-y,-x,-z'
'x,-y,z'
'y,x,-z'
loop_
_atom_site_label
_atom_site_fract_x
_atom_site_fract_y
_atom_site_fract_z
Mg1 0.000 0.000 0.000
Te1 0.000 0.500 0.237
Au1 0.000 0.500 0.689
F1 0.000 0.000 0.500
F2 0.500 0.500 0.500